VASP calculation (PBE+U) on a relaxed structure of BaTi2WO8.

Computed properties:
- calculated density (g/cm³) = 5.0
- magnetization (Bohr magnetons per cell) = 0.0
- calculated total energy (eV/atom) = -8.024

```
BaTi2WO8
1.0
4.1343 -3.0925 0.0000
4.1343 3.0925 0.0000
-1.6717 0.0000 7.0317
Ba Ti W O
1 2 1 8
Cartesian
0.0000 0.0000 0.0000
2.2817 0.0000 5.4433
4.3151 0.0000 1.5885
-0.8359 0.0000 3.5159
2.9179 1.7011 4.8632
3.6790 1.7011 2.1686
0.9795 0.0000 4.0822
1.2225 0.0000 6.9029
5.3744 0.0000 0.1288
5.6173 0.0000 2.9495
2.9179 -1.7011 4.8632
3.6790 -1.7011 2.1686
```